1.
A relaxed Ce2Al2Pd crystal. Source: the Alexandria database, functional PBE-GGA.

Cell lengths 3.467, 4.552, 7.103 Å; angles 108.63, 90.00, 90.00 degrees
Positions (direct):
Ce 0.500 0.394 0.790
Ce 0.500 0.606 0.210
Al 0.000 0.803 0.606
Al 0.000 0.197 0.394
Pd 0.000 0.000 0.000

- raw total energy (eV per formula unit) = -27.0
- space group = P2/m (10)


2.
A relaxed CeAlPd crystal. Source: the Alexandria database, functional PBE-GGA.

Cell lengths 4.250, 7.135, 28.561 Å; angles 90.00, 90.00, 90.00 degrees
Positions (direct):
Ce 0.000 0.486 0.091
Ce 0.000 0.854 0.000
Ce 0.500 0.006 0.623
Ce 0.000 0.994 0.123
Ce 0.000 0.486 0.909
Ce 0.500 0.146 0.500
Ce 0.000 0.994 0.877
Ce 0.500 0.637 0.718
Ce 0.500 0.514 0.591
Ce 0.500 0.514 0.409
Ce 0.000 0.363 0.782
Ce 0.500 0.637 0.282
Ce 0.000 0.363 0.218
Ce 0.500 0.006 0.377
Al 0.500 0.014 0.785
Al 0.000 0.986 0.285
Al 0.500 0.660 0.165
Al 0.500 0.510 0.000
Al 0.000 0.490 0.500
Al 0.500 0.660 0.835
Al 0.000 0.340 0.665
Al 0.000 0.837 0.450
Al 0.000 0.837 0.550
Al 0.500 0.014 0.215
Al 0.500 0.163 0.050
Al 0.000 0.986 0.715
Al 0.000 0.340 0.335
Al 0.500 0.163 0.950
Pd 0.000 0.792 0.792
Pd 0.500 0.277 0.854
Pd 0.000 0.723 0.646
Pd 0.500 0.208 0.292
Pd 0.000 0.222 0.572
Pd 0.500 0.778 0.072
Pd 0.000 0.222 0.428
Pd 0.500 0.778 0.928
Pd 0.500 0.208 0.708
Pd 0.500 0.277 0.146
Pd 0.000 0.792 0.208
Pd 0.000 0.723 0.354
Pd 0.000 0.276 0.000
Pd 0.500 0.724 0.500

- raw total energy (eV per formula unit) = -17.2
- space group = Pmmn (59)


3.
A relaxed CeAlPd6 crystal. Source: the Alexandria database, functional PBE-GGA.

Cell lengths 4.075, 4.075, 7.912 Å; angles 90.00, 90.00, 90.00 degrees
Positions (direct):
Ce 0.000 0.000 0.000
Al 0.000 0.000 0.500
Pd 0.500 0.500 0.000
Pd 0.500 0.500 0.500
Pd 0.500 0.000 0.265
Pd 0.500 0.000 0.735
Pd 0.000 0.500 0.265
Pd 0.000 0.500 0.735

- E above lowest polymorph (eV per atom) = 0.000
- space group = P4/mmm (123)


4.
A relaxed Ce2AlPd2 crystal. Source: the Alexandria database, functional PBE-GGA.

Cell lengths 5.281, 5.712, 7.824 Å; angles 111.41, 90.00, 90.00 degrees
Positions (direct):
Ce 0.750 0.425 0.850
Ce 0.750 0.793 0.587
Ce 0.250 0.575 0.150
Ce 0.250 0.207 0.413
Al 0.000 0.000 0.000
Al 0.500 0.000 0.000
Pd 0.750 0.372 0.248
Pd 0.250 0.124 0.752
Pd 0.250 0.628 0.752
Pd 0.750 0.876 0.248

- raw total energy (eV per formula unit) = -29.0
- space group = Cmcm (63)


5.
A relaxed CeAl6Pd3 crystal. Source: the Alexandria database, functional PBE-GGA.

Cell lengths 4.327, 8.713, 9.550 Å; angles 85.88, 90.00, 90.00 degrees
Positions (direct):
Ce 0.750 0.053 0.701
Ce 0.250 0.947 0.299
Al 0.750 0.424 0.571
Al 0.250 0.576 0.429
Al 0.750 0.887 0.036
Al 0.250 0.113 0.964
Al 0.750 0.470 0.091
Al 0.250 0.530 0.909
Al 0.750 0.696 0.267
Al 0.250 0.304 0.733
Al 0.750 0.190 0.372
Al 0.250 0.810 0.628
Al 0.750 0.690 0.794
Al 0.250 0.310 0.206
Pd 0.750 0.389 0.845
Pd 0.250 0.611 0.155
Pd 0.750 0.721 0.522
Pd 0.250 0.279 0.478
Pd 0.750 0.174 0.102
Pd 0.250 0.826 0.898

- raw total energy (eV per formula unit) = -50.6
- space group = P2_1/m (11)


6.
A relaxed CeAl2Pd7 crystal. Source: the Alexandria database, functional PBE-GGA.

Cell lengths 4.560, 7.045, 7.045 Å; angles 117.19, 90.00, 90.00 degrees
Positions (direct):
Ce 0.000 0.000 0.000
Al 0.500 0.700 0.300
Al 0.500 0.300 0.700
Pd 0.000 0.775 0.225
Pd 0.000 0.225 0.775
Pd 0.500 0.067 0.311
Pd 0.500 0.933 0.689
Pd 0.500 0.311 0.067
Pd 0.500 0.689 0.933
Pd 0.500 0.500 0.500

- raw total energy (eV per formula unit) = -53.4
- space group = Cmmm (65)


7.
A relaxed CeAlPd6 crystal. Source: the Alexandria database, functional PBE-GGA.

Cell lengths 5.485, 5.485, 7.074 Å; angles 67.19, 67.19, 60.00 degrees
Positions (direct):
Ce 0.500 0.500 0.500
Al 0.000 0.000 0.000
Pd 0.924 0.924 0.715
Pd 0.436 0.924 0.715
Pd 0.076 0.564 0.285
Pd 0.564 0.076 0.285
Pd 0.076 0.076 0.285
Pd 0.924 0.436 0.715

- E above lowest polymorph (eV per atom) = 0.401
- space group = R-3m (166)


8.
A relaxed Ce3Al2Pd6 crystal. Source: the Alexandria database, functional PBE-GGA.

Cell lengths 8.241, 8.241, 8.241 Å; angles 109.47, 109.47, 109.47 degrees
Positions (direct):
Ce 0.718 0.000 0.718
Ce 0.282 0.000 0.282
Ce 0.000 0.282 0.282
Ce 0.000 0.718 0.718
Ce 0.282 0.282 0.000
Ce 0.718 0.718 0.000
Al 0.000 0.500 0.000
Al 0.500 0.000 0.000
Al 0.000 0.000 0.500
Al 0.500 0.500 0.500
Pd 0.665 0.330 0.665
Pd 0.665 0.000 0.335
Pd 0.335 0.000 0.665
Pd 0.335 0.670 0.335
Pd 0.000 0.665 0.335
Pd 0.670 0.335 0.335
Pd 0.330 0.665 0.665
Pd 0.000 0.335 0.665
Pd 0.335 0.665 0.000
Pd 0.665 0.665 0.330
Pd 0.335 0.335 0.670
Pd 0.665 0.335 0.000

- raw total energy (eV per formula unit) = -64.9
- space group = Im-3m (229)


9.
A relaxed CeAlPd2 crystal. Source: the Alexandria database, functional PBE-GGA.

Cell lengths 5.902, 6.974, 7.537 Å; angles 90.00, 90.00, 90.00 degrees
Positions (direct):
Ce 0.340 0.750 0.035
Ce 0.160 0.750 0.535
Ce 0.660 0.250 0.965
Ce 0.840 0.250 0.465
Al 0.661 0.750 0.384
Al 0.839 0.750 0.884
Al 0.339 0.250 0.616
Al 0.161 0.250 0.116
Pd 0.916 0.550 0.180
Pd 0.584 0.950 0.680
Pd 0.084 0.050 0.820
Pd 0.416 0.450 0.320
Pd 0.084 0.450 0.820
Pd 0.416 0.050 0.320
Pd 0.916 0.950 0.180
Pd 0.584 0.550 0.680

- raw total energy (eV per formula unit) = -23.3
- space group = Pnma (62)


10.
A relaxed CeAl5Pd3 crystal. Source: the Alexandria database, functional PBE-GGA.

Cell lengths 4.107, 6.768, 12.598 Å; angles 90.00, 90.00, 107.66 degrees
Positions (direct):
Ce 0.836 0.672 0.750
Ce 0.164 0.328 0.250
Al 0.800 0.599 0.438
Al 0.200 0.401 0.938
Al 0.000 0.000 0.500
Al 0.000 0.000 0.000
Al 0.441 0.883 0.149
Al 0.559 0.117 0.851
Al 0.559 0.117 0.649
Al 0.800 0.599 0.062
Al 0.200 0.401 0.562
Al 0.441 0.883 0.351
Pd 0.390 0.780 0.955
Pd 0.873 0.746 0.250
Pd 0.390 0.780 0.545
Pd 0.610 0.220 0.455
Pd 0.127 0.254 0.750
Pd 0.610 0.220 0.045

- raw total energy (eV per formula unit) = -46.3
- space group = Cmcm (63)


11.
A relaxed CeAl3Pd crystal. Source: the Alexandria database, functional PBE-GGA.

Cell lengths 4.294, 4.294, 6.160 Å; angles 110.40, 110.40, 90.00 degrees
Positions (direct):
Ce 0.001 0.001 0.003
Al 0.263 0.763 0.526
Al 0.763 0.263 0.526
Al 0.418 0.418 0.835
Pd 0.645 0.645 0.290

- E above lowest polymorph (eV per atom) = 0.000
- space group = I4mm (107)


12.
A relaxed Ce3Al8Pd3 crystal. Source: the Alexandria database, functional PBE-GGA.

Cell lengths 4.405, 8.260, 8.260 Å; angles 73.05, 74.54, 74.54 degrees
Positions (direct):
Ce 0.500 0.500 0.500
Ce 0.806 0.194 0.194
Ce 0.194 0.806 0.806
Al 0.623 0.092 0.662
Al 0.377 0.908 0.338
Al 0.623 0.662 0.092
Al 0.377 0.338 0.908
Al 0.838 0.798 0.526
Al 0.162 0.202 0.474
Al 0.838 0.526 0.798
Al 0.162 0.474 0.202
Pd 0.500 0.000 0.000
Pd 0.000 0.792 0.208
Pd 0.000 0.208 0.792

- E above lowest polymorph (eV per atom) = 0.013
- space group = Immm (71)


13.
A relaxed Ce2Al5Pd3 crystal. Source: the Alexandria database, functional PBE-GGA.

Cell lengths 5.804, 8.711, 8.711 Å; angles 93.07, 70.57, 70.57 degrees
Positions (direct):
Ce 0.277 0.865 0.581
Ce 0.223 0.419 0.135
Ce 0.723 0.135 0.419
Ce 0.777 0.581 0.865
Al 0.337 0.069 0.257
Al 0.163 0.743 0.931
Al 0.663 0.931 0.743
Al 0.837 0.257 0.069
Al 0.250 0.213 0.787
Al 0.750 0.787 0.213
Al 0.250 0.500 0.500
Al 0.750 0.500 0.500
Al 0.250 0.787 0.213
Al 0.750 0.213 0.787
Pd 0.104 0.256 0.538
Pd 0.396 0.462 0.744
Pd 0.896 0.744 0.462
Pd 0.604 0.538 0.256
Pd 0.250 0.000 0.000
Pd 0.750 0.000 0.000

- raw total energy (eV per formula unit) = -53.6
- space group = C2/c (15)


14.
A relaxed CeAl2Pd5 crystal. Source: the Alexandria database, functional PBE-GGA.

Cell lengths 3.916, 6.503, 6.503 Å; angles 65.75, 72.47, 72.47 degrees
Positions (direct):
Ce 0.000 0.000 0.000
Al 0.761 0.739 0.739
Al 0.239 0.261 0.261
Pd 0.000 0.500 0.500
Pd 0.643 0.557 0.157
Pd 0.357 0.443 0.843
Pd 0.357 0.843 0.443
Pd 0.643 0.157 0.557

- E above lowest polymorph (eV per atom) = 0.127
- space group = Immm (71)


15.
A relaxed CeAl3Pd10 crystal. Source: the Alexandria database, functional PBE-GGA.

Cell lengths 8.775, 8.775, 8.775 Å; angles 60.00, 60.00, 60.00 degrees
Positions (direct):
Ce 0.250 0.250 0.250
Ce 0.750 0.750 0.750
Al 0.730 0.730 0.270
Al 0.730 0.270 0.730
Al 0.270 0.730 0.730
Al 0.270 0.270 0.730
Al 0.730 0.270 0.270
Al 0.270 0.730 0.270
Pd 0.000 0.000 0.345
Pd 0.000 0.345 0.000
Pd 0.345 0.000 0.000
Pd 0.655 0.345 0.000
Pd 0.380 0.380 0.380
Pd 0.139 0.620 0.620
Pd 0.380 0.861 0.380
Pd 0.655 0.000 0.345
Pd 0.380 0.380 0.861
Pd 0.861 0.380 0.380
Pd 0.620 0.620 0.139
Pd 0.000 0.000 0.655
Pd 0.345 0.655 0.000
Pd 0.000 0.655 0.345
Pd 0.000 0.345 0.655
Pd 0.655 0.000 0.000
Pd 0.620 0.620 0.620
Pd 0.000 0.655 0.000
Pd 0.620 0.139 0.620
Pd 0.345 0.000 0.655

- raw total energy (eV per formula unit) = -77.8
- space group = Fm-3m (225)


16.
A relaxed Ce2Al9Pd3 crystal. Source: the Alexandria database, functional PBE-GGA.

Cell lengths 7.727, 7.727, 10.640 Å; angles 89.85, 111.35, 120.16 degrees
Positions (direct):
Ce 0.334 0.248 0.750
Ce 0.666 0.752 0.250
Ce 0.998 0.585 0.750
Ce 0.002 0.415 0.250
Al 0.461 0.919 0.748
Al 0.539 0.081 0.252
Al 0.671 0.714 0.752
Al 0.329 0.286 0.248
Al 0.453 0.645 0.927
Al 0.547 0.355 0.073
Al 0.218 0.526 0.573
Al 0.782 0.474 0.427
Al 0.874 0.124 0.750
Al 0.126 0.876 0.250
Al 0.129 0.982 0.943
Al 0.871 0.018 0.057
Al 0.539 0.186 0.557
Al 0.461 0.814 0.443
Al 0.878 0.858 0.572
Al 0.122 0.142 0.428
Al 0.786 0.306 0.928
Al 0.214 0.694 0.072
Pd 0.500 0.000 0.000
Pd 0.500 0.500 0.500
Pd 0.839 0.171 0.500
Pd 0.161 0.829 0.500
Pd 0.170 0.339 0.000
Pd 0.830 0.661 0.000

- raw total energy (eV per formula unit) = -70.2
- space group = C2/c (15)


17.
A relaxed CeAl4Pd crystal. Source: the Alexandria database, functional PBE-GGA.

Cell lengths 4.255, 6.700, 8.216 Å; angles 90.00, 104.91, 90.00 degrees
Positions (direct):
Pd 0.276 0.250 0.551
Pd 0.724 0.750 0.449
Ce 0.386 0.750 0.773
Ce 0.614 0.250 0.227
Al 0.818 0.051 0.635
Al 0.182 0.949 0.365
Al 0.182 0.551 0.365
Al 0.818 0.449 0.635
Al 0.000 0.500 0.000
Al 0.000 0.000 0.000
Al 0.429 0.250 0.857
Al 0.571 0.750 0.143

- raw total energy (eV per formula unit) = -29.7
- space group = P2_1/m (11)